This record from Alexandria via LeMat-Bulk describes a geometry-optimized Tb9Er11Tm4 structure. The functional is PBE.

Cell lengths 3.629, 14.952, 14.952 Å; angles 112.94, 90.00, 90.00 degrees
Atoms (fractional coordinates):
Er  0.000  0.000  0.000
Er  0.000  0.045  0.407
Er  0.000  0.955  0.593
Er  0.000  0.293  0.293
Er  0.000  0.840  0.160
Er  0.000  0.367  0.633
Er  0.000  0.633  0.367
Er  0.000  0.160  0.840
Er  0.000  0.593  0.955
Er  0.000  0.407  0.045
Er  0.000  0.707  0.707
Tb  0.500  0.931  0.785
Tb  0.500  0.631  0.164
Tb  0.500  0.369  0.836
Tb  0.500  0.500  0.500
Tb  0.500  0.785  0.931
Tb  0.500  0.069  0.215
Tb  0.500  0.215  0.069
Tb  0.500  0.164  0.631
Tb  0.500  0.836  0.369
Tm  0.500  0.244  0.446
Tm  0.500  0.446  0.244
Tm  0.500  0.554  0.756
Tm  0.500  0.756  0.554

Properties
* ΔH_f (0 K): 0.0473 eV/atom
* total magnetic moment: 0.0 μB per cell
* calculated total energy: -108.6 eV per cell
* space group: Cmmm


This record from Alexandria via LeMat-Bulk describes a geometry-optimized Tb2ErTm12 structure. The functional is PBE.

Cell lengths 6.524, 6.523, 25.362 Å; angles 73.94, 84.45, 114.65 degrees
Atoms (fractional coordinates):
Tm  0.653  0.351  0.597
Tm  0.677  0.518  0.323
Tm  0.293  0.067  0.457
Tm  0.565  0.597  0.934
Tm  0.707  0.933  0.543
Tm  0.323  0.482  0.677
Tm  0.793  0.567  0.457
Tm  0.108  0.538  0.142
Tm  0.823  0.982  0.677
Tm  0.892  0.462  0.858
Tm  0.177  0.018  0.323
Tm  0.608  0.038  0.142
Tm  0.435  0.403  0.066
Tm  0.153  0.851  0.597
Tm  0.207  0.433  0.543
Tm  0.847  0.149  0.403
Tm  0.560  0.467  0.190
Tm  0.440  0.533  0.810
Tm  0.935  0.903  0.066
Tm  0.065  0.097  0.934
Tm  0.347  0.649  0.403
Tm  0.060  0.967  0.190
Tm  0.940  0.033  0.810
Tm  0.392  0.962  0.858
Tb  0.223  0.587  0.277
Tb  0.277  0.913  0.723
Tb  0.723  0.087  0.277
Tb  0.777  0.413  0.723
Er  0.500  0.000  0.000
Er  0.000  0.500  0.000

Properties
* ΔH_f (0 K): 0.0355 eV/atom
* total magnetic moment: 0.0 μB per cell
* calculated total energy: -133.9 eV per cell
* space group: P-1


This record from Alexandria via LeMat-Bulk describes a geometry-optimized Tb3Er7Tm2 structure. The functional is PBE.

Cell lengths 3.549, 5.757, 18.649 Å; angles 98.88, 90.00, 90.00 degrees
Atoms (fractional coordinates):
Er  0.000  0.000  0.000
Er  0.500  0.090  0.181
Er  0.000  0.730  0.460
Er  0.000  0.427  0.854
Er  0.500  0.910  0.819
Er  0.000  0.573  0.146
Er  0.000  0.270  0.540
Tb  0.500  0.651  0.302
Tb  0.500  0.500  0.000
Tb  0.500  0.349  0.698
Tm  0.000  0.824  0.649
Tm  0.000  0.176  0.351

Properties
* ΔH_f (0 K): 0.1676 eV/atom
* total magnetic moment: 0.0 μB per cell
* calculated total energy: -52.8 eV per cell
* excess energy over the best structure of this formula in the dataset: 95 meV per atom
* space group: Cmmm


This record from Alexandria via LeMat-Bulk describes a geometry-optimized Tb2Er3Tm8 structure. The functional is PBE.

Cell lengths 5.489, 7.467, 10.784 Å; angles 110.26, 90.01, 90.00 degrees
Atoms (fractional coordinates):
Er  0.000  0.283  0.000
Er  0.500  0.000  0.000
Er  0.000  0.717  0.000
Tm  0.000  0.336  0.671
Tm  0.000  0.868  0.736
Tm  0.500  0.177  0.783
Tm  0.000  0.132  0.264
Tm  0.500  0.823  0.217
Tm  0.500  0.395  0.217
Tm  0.000  0.664  0.329
Tm  0.500  0.605  0.783
Tb  0.500  0.759  0.517
Tb  0.500  0.241  0.483

Properties
* ΔH_f (0 K): 0.2493 eV/atom
* total magnetic moment: 0.0 μB per cell
* calculated total energy: -55.5 eV per cell
* space group: Cmmm


This record from Alexandria via LeMat-Bulk describes a geometry-optimized Tb6Er16Tm7 structure. The functional is PBE.

Cell lengths 10.967, 10.967, 10.967 Å; angles 60.00, 60.00, 60.00 degrees
Atoms (fractional coordinates):
Tb  0.284  0.284  0.716
Tb  0.716  0.716  0.284
Tb  0.284  0.716  0.284
Tb  0.284  0.716  0.716
Tb  0.716  0.284  0.284
Tb  0.716  0.284  0.716
Tm  0.000  0.000  0.000
Tm  0.500  0.000  0.500
Tm  0.000  0.500  0.500
Tm  0.500  0.500  0.000
Tm  0.500  0.000  0.000
Tm  0.000  0.000  0.500
Tm  0.000  0.500  0.000
Er  0.347  0.960  0.347
Er  0.040  0.653  0.653
Er  0.878  0.878  0.878
Er  0.347  0.347  0.960
Er  0.878  0.365  0.878
Er  0.635  0.122  0.122
Er  0.653  0.653  0.040
Er  0.122  0.635  0.122
Er  0.653  0.653  0.653
Er  0.122  0.122  0.635
Er  0.653  0.040  0.653
Er  0.878  0.878  0.365
Er  0.960  0.347  0.347
Er  0.122  0.122  0.122
Er  0.347  0.347  0.347
Er  0.365  0.878  0.878

Properties
* ΔH_f (0 K): 0.2442 eV/atom
* total magnetic moment: 5.4 μB per cell
* calculated total energy: -125.0 eV per cell
* space group: Fm-3m


This record from Alexandria via LeMat-Bulk describes a geometry-optimized TbEr6Tm5 structure. The functional is PBE.

Cell lengths 6.056, 6.050, 11.585 Å; angles 85.01, 79.99, 59.96 degrees
Atoms (fractional coordinates):
Er  0.417  0.666  0.749
Er  0.750  0.000  0.749
Er  0.250  0.000  0.251
Er  0.583  0.334  0.251
Er  0.083  0.334  0.749
Er  0.917  0.666  0.251
Tm  0.167  0.666  0.500
Tm  0.500  0.000  0.500
Tm  0.667  0.667  0.000
Tm  0.833  0.334  0.500
Tm  0.333  0.333  0.000
Tb  0.000  0.000  0.000

Properties
* ΔH_f (0 K): 0.0240 eV/atom
* total magnetic moment: 0.0 μB per cell
* calculated total energy: -54.1 eV per cell
* space group: C2/m


This record from Alexandria via LeMat-Bulk describes a geometry-optimized Tb5Er8Tm structure. The functional is PBE.

Cell lengths 8.346, 8.346, 8.346 Å; angles 110.75, 106.94, 110.75 degrees
Atoms (fractional coordinates):
Tb  0.865  0.898  0.188
Tb  0.290  0.102  0.967
Tb  0.500  0.000  0.500
Tb  0.033  0.323  0.135
Tb  0.812  0.677  0.710
Er  0.164  0.738  0.078
Er  0.083  0.746  0.478
Er  0.663  0.395  0.917
Er  0.732  0.254  0.337
Er  0.340  0.262  0.426
Er  0.574  0.914  0.836
Er  0.922  0.086  0.660
Er  0.522  0.605  0.268
Tm  0.250  0.500  0.750

Properties
* ΔH_f (0 K): 0.2578 eV/atom
* total magnetic moment: 0.0 μB per cell
* calculated total energy: -60.5 eV per cell
* space group: I-4


This record from Alexandria via LeMat-Bulk describes a geometry-optimized TbEr4Tm3 structure. The functional is PBE.

Cell lengths 3.502, 7.817, 10.495 Å; angles 81.40, 70.50, 63.37 degrees
Atoms (fractional coordinates):
Er  0.000  0.751  0.749
Er  0.502  0.249  0.749
Er  0.000  0.249  0.251
Er  0.498  0.751  0.251
Tb  0.500  0.500  0.000
Tm  0.000  0.000  0.000
Tm  0.000  0.500  0.500
Tm  0.500  0.000  0.500

Properties
* ΔH_f (0 K): 0.0253 eV/atom
* total magnetic moment: 0.0 μB per cell
* calculated total energy: -36.1 eV per cell
* excess energy over the best structure of this formula in the dataset: 27 meV per atom
* space group: Pmmm